# 1
The following is a PBE calculation of a relaxed structure of SmC, from OQMD.

CIF file:
```
data_SmC
_chemical_formula_sum 'Sm4 C4'
_cell_length_a 5.569
_cell_length_b 5.569
_cell_length_c 5.569
_cell_angle_alpha 90.00
_cell_angle_beta 90.00
_cell_angle_gamma 90.00
_symmetry_space_group_name_H-M 'F -4 3 m'
_symmetry_Int_Tables_number 216
_symmetry_space_group_name_Hall 'F -4 2 3'
loop_
_atom_site_label
_atom_site_type_symbol
_atom_site_fract_x
_atom_site_fract_y
_atom_site_fract_z
Sm1 Sm 0.000 0.000 0.000
C1 C 0.250 0.250 0.250
```

Summary:
For the total moment, the calculation gives 0.000 μB/atom. The offset from the most stable computed form is 319.4 meV per atom.

# 2
The following is a PBE calculation of a relaxed structure of Ta3TlSe5, from OQMD.

CIF file:
```
data_Ta3TlSe5
_chemical_formula_sum 'Ta3 Tl1 Se5'
_cell_length_a 5.8085
_cell_length_b 5.8085
_cell_length_c 7.7144
_cell_angle_alpha 90.00
_cell_angle_beta 90.00
_cell_angle_gamma 120.00
_symmetry_space_group_name_H-M 'P 6/m m m'
_symmetry_Int_Tables_number 191
_symmetry_space_group_name_Hall '-P 6 2'
loop_
_atom_site_label
_atom_site_type_symbol
_atom_site_fract_x
_atom_site_fract_y
_atom_site_fract_z
Ta1 Ta 0.0000 0.5000 0.0000
Tl1 Tl 0.0000 0.0000 0.5000
Se1 Se 0.0000 0.0000 0.0000
Se2 Se 0.3333 0.6667 0.2649
```

Summary:
For the total moment, the calculation gives 0.000 μB/atom.

no.,total energy (eV per atom)
1,-6.44
2,-6.63